An optimized crystal structure of CuC2O8, computed with PBE-GGA.

As for the uncorrected formation energy: -0.660 eV per atom. Its total magnetization is 0.27 μB per atom.

It has space group P2_1/c (No. 14), with a = 4.3342 Å, b = 8.9027 Å, c = 11.1439 Å, α = 90.00°, β = 103.91° and γ = 90.00°. Symmetry generates all atoms from Cu at (0.0000, 0.0000, 0.0000), C at (0.2255, 0.1886, 0.7462), O at (0.0381, 0.0930, 0.7466), O at (0.4083, 0.2147, 0.2437), O at (0.4125, 0.5529, 0.5239) and O at (0.4246, 0.0558, 0.5090).

=====

An optimized crystal structure of NiHgBr, computed with PBE-GGA.

As for the uncorrected formation energy: -0.031 eV per atom. Its total magnetization is 0.23 μB per atom.

It has space group Fmm2 (No. 42), with a = 7.5200 Å, b = 11.4088 Å, c = 6.2795 Å, α = 90.00°, β = 90.00° and γ = 90.00°. Symmetry generates all atoms from Ni at (0.0000, 0.1062, 0.0000), Hg at (0.2153, 0.0000, 0.2938) and Br at (0.0000, 0.2001, 0.6540).

=====

An optimized crystal structure of Rb2SnF4, computed with PBE-GGA.

As for the uncorrected formation energy: -2.494 eV per atom. Its total magnetization is 0.00 μB per atom.

It has space group P2_1/m (No. 11), with a = 7.5215 Å, b = 7.2912 Å, c = 8.0356 Å, α = 90.00°, β = 116.48° and γ = 90.00°. Symmetry generates all atoms from Rb at (0.0921, 0.2500, 0.1028), Rb at (0.2990, 0.2500, 0.6886), Sn at (0.2345, 0.7500, 0.4258), F at (0.0044, 0.5501, 0.2620), F at (0.2942, 0.7500, 0.1956) and F at (0.4261, 0.2500, 0.4294).

=====

An optimized crystal structure of TlIn5O8, computed with PBE-GGA.

As for the uncorrected formation energy: -1.363 eV per atom. Its total magnetization is 0.00 μB per atom.

It has space group F-43m (No. 216), with a = 9.4622 Å, b = 9.4622 Å, c = 9.4622 Å, α = 90.00°, β = 90.00° and γ = 90.00°. Symmetry generates all atoms from Tl at (0.0000, 0.0000, 0.0000), In at (0.1259, 0.1259, 0.6259), In at (0.2500, 0.2500, 0.2500), O at (0.1142, 0.1142, 0.3858) and O at (0.1426, 0.1426, 0.8574).

=====

An optimized crystal structure of Li3Zr2PdS6, computed with PBE-GGA.

As for the uncorrected formation energy: -1.249 eV per atom. Its total magnetization is 0.08 μB per atom.

It has space group C2/m (No. 12), with a = 6.5252 Å, b = 10.8944 Å, c = 6.6220 Å, α = 90.00°, β = 111.82° and γ = 90.00°. Symmetry generates all atoms from Li at (0.0000, 0.0000, 0.0000), Li at (0.0000, 0.3387, 0.0000), Zr at (0.0000, 0.1658, 0.5000), Pd at (0.0000, 0.5000, 0.5000), S at (0.2241, 0.0000, 0.7661) and S at (0.2464, 0.1682, 0.2638).

=====

An optimized crystal structure of Mg3Ta2, computed with PBE-GGA.

Its total magnetization is 0.00 μB per atom. The value obtained for the formation energy is 0.662 eV per atom.

It has space group P-3m1 (No. 164), with a = 4.6827 Å, b = 4.6827 Å, c = 6.0442 Å, α = 90.00°, β = 90.00° and γ = 120.00°. Symmetry generates all atoms from Mg at (0.0000, 0.0000, 0.0000), Mg at (0.3333, 0.6667, 0.3653) and Ta at (0.3333, 0.6667, 0.8947).

=====

An optimized crystal structure of Ac12La2Sn5, computed with PBE-GGA.

Its total magnetization is 0.00 μB per atom. The value obtained for the formation energy is -0.202 eV per atom.

It has space group C2/m (No. 12), with a = 18.0906 Å, b = 8.4670 Å, c = 10.4807 Å, α = 90.00°, β = 94.39° and γ = 90.00°. Symmetry generates all atoms from Ac at (0.0185, 0.0000, 0.3169), Ac at (0.0262, 0.5000, 0.8125), Ac at (0.1430, 0.2510, 0.0928), Ac at (0.1824, 0.2419, 0.6314), La at (0.0000, 0.3289, 0.5000), Sn at (0.0000, 0.0000, 0.0000), Sn at (0.1526, 0.5000, 0.3633) and Sn at (0.2130, 0.5000, 0.8805).

=====

An optimized crystal structure of Ac3In3Ni2, computed with PBE-GGA.

Its total magnetization is 0.00 μB per atom. The value obtained for the formation energy is -0.362 eV per atom.

It has space group Cmcm (No. 63), with a = 4.0822 Å, b = 12.5647 Å, c = 17.5175 Å, α = 90.00°, β = 90.00° and γ = 90.00°. Symmetry generates all atoms from Ac at (0.0000, 0.0566, 0.1018), Ac at (0.0000, 0.3221, 0.2500), In at (0.0000, 0.3288, 0.0422), In at (0.0000, 0.3919, 0.7500) and Ni at (0.0000, 0.2631, 0.6218).